(1)
## HgBiPCl2 (PBE-GGA)

Data for HgBiPCl2 after structural relaxation.

a b c (Å): 5.4643 5.4643 5.7238
angles (deg): 90.00 90.00 90.00
Closest atoms and distances in Å follow each position.
Space group P4/mmm (No. 123)
Symmetry-distinct sites (fractional):
Hg (0.0000, 0.0000, 0.0000) x1  4 P 3.86, 8 Cl 3.96
Bi (0.5000, 0.5000, 0.5000) x1  4 Cl 2.73, 2 P 2.86
P (0.5000, 0.5000, 0.0000) x1  2 Bi 2.86
Cl (0.0000, 0.5000, 0.5000) x2  2 Bi 2.73

Results
Excess energy over the best structure of this formula in the dataset = 0.0 kJ per mole of atoms
Formation energy (no corrections) = 0.11 eV/f.u.
N(E_F) = 0.808 states/eV/cell

(2)
## HgBiP2Cl (PBE-GGA)

Data for HgBiP2Cl after structural relaxation.

a b c (Å): 5.4841 5.4841 5.4943
angles (deg): 90.00 90.00 90.00
Closest atoms and distances in Å follow each position.
Space group P4/mmm (No. 123)
Symmetry-distinct sites (fractional):
Hg (0.0000, 0.0000, 0.0000) x1  4 Cl 3.88, 8 P 3.88
Bi (0.5000, 0.5000, 0.5000) x1  4 P 2.74, 2 Cl 2.75
P (0.0000, 0.5000, 0.5000) x2  2 Bi 2.74
Cl (0.5000, 0.5000, 0.0000) x1  2 Bi 2.75

Results
Excess energy over the best structure of this formula in the dataset = 0.0 kJ per mole of atoms
Formation energy (no corrections) = 3.58 eV/f.u.
N(E_F) = 3.629 states/eV/cell

(3)
## HgBiPCl2 (PBE-GGA)

Data for HgBiPCl2 after structural relaxation.

a b c (Å): 5.1003 5.1003 5.2305
angles (deg): 90.00 90.00 90.00
Closest atoms and distances in Å follow each position.
Space group P4/mmm (No. 123)
Symmetry-distinct sites (fractional):
Hg (0.0000, 0.0000, 0.0000) x1  4 Cl 2.55, 2 P 2.62
Bi (0.5000, 0.5000, 0.5000) x1  4 P 3.61, 8 Cl 3.65
P (0.0000, 0.0000, 0.5000) x1  2 Hg 2.62
Cl (0.0000, 0.5000, 0.0000) x2  2 Hg 2.55

Results
Excess energy over the best structure of this formula in the dataset = 32.4 kJ per mole of atoms
Formation energy (no corrections) = 1.79 eV/f.u.
N(E_F) = 3.378 states/eV/cell

(4)
## HgBiPbCl (PBE-GGA)

Data for HgBiPbCl after structural relaxation.

a b c (Å): 7.5763 7.5763 7.5763
angles (deg): 90.00 90.00 90.00
Closest atoms and distances in Å follow each position.
Space group F-43m (No. 216)
Symmetry-distinct sites (fractional):
Hg (0.0000, 0.0000, 0.0000) x4  4 Pb 3.28, 4 Bi 3.28
Bi (0.2500, 0.2500, 0.2500) x4  4 Hg 3.28, 4 Cl 3.28
Pb (0.2500, 0.2500, 0.7500) x4  4 Hg 3.28, 4 Cl 3.28
Cl (0.0000, 0.0000, 0.5000) x4  4 Pb 3.28, 4 Bi 3.28

Results
Formation energy (no corrections) = -0.57 eV/f.u.
N(E_F) = 7.739 states/eV/cell

(5)
## RbHg2BiCl8 (PBE-GGA)

Data for RbHg2BiCl8 after structural relaxation.

a b c (Å): 6.7678 6.9495 9.3152
angles (deg): 71.25 80.41 85.27
Closest atoms and distances in Å follow each position.
Space group P-1 (No. 2)
Symmetry-distinct sites (fractional):
Rb (0.0000, 0.0000, 0.0000) x1  6 Cl 3.28-3.46
Hg (0.4744, 0.4670, 0.2301) x2  2 Cl 2.39-2.40
Bi (0.0000, 0.0000, 0.5000) x1  6 Cl 2.69-2.83
Cl (0.1330, 0.7294, 0.7517) x2  1 Bi 2.73, 1 Hg 2.89
Cl (0.1968, 0.7963, 0.3154) x2  1 Bi 2.69
Cl (0.3354, 0.2350, 0.4720) x2  1 Hg 2.40
Cl (0.4125, 0.2648, 0.9970) x2  1 Hg 2.39

Results
Formation energy (no corrections) = -11.24 eV/f.u.
N(E_F) = 0.000 states/eV/cell

(6)
## Hg4BiS2Cl5 (PBE-GGA)

Data for Hg4BiS2Cl5 after structural relaxation.

a b c (Å): 8.3143 10.6701 9.0901
angles (deg): 90.00 113.28 90.00
Closest atoms and distances in Å follow each position.
Space group P2_1 (No. 4)
Symmetry-distinct sites (fractional):
Hg (0.0029, 0.0000, 0.0127) x2  2 S 2.40-2.41
Hg (0.3035, 0.2499, 0.0185) x2  2 S 2.44
Hg (0.4256, 0.4986, 0.3289) x2  1 S 2.51, 1 Hg 2.62
Hg (0.4472, 0.0171, 0.3582) x2  1 S 2.51, 1 Hg 2.62
Bi (0.0000, 0.2528, 0.5082) x2  6 Cl 2.67-2.78
S (0.3004, 0.4782, 0.0291) x2  3 Hg 2.41-2.51
S (0.3064, 0.0237, 0.0584) x2  3 Hg 2.40-2.51
Cl (0.0135, 0.0015, 0.4318) x2  2 Bi 2.72-2.78
Cl (0.0905, 0.2945, 0.2610) x2  1 Bi 2.67
Cl (0.0914, 0.7232, 0.2317) x2  1 Bi 2.77
Cl (0.3438, 0.7548, 0.6856) x2  1 Bi 2.70
Cl (0.3474, 0.2470, 0.7121) x2  1 Bi 2.75, 1 Hg 2.95

Results
Formation energy (no corrections) = -7.04 eV/f.u.
N(E_F) = 0.000 states/eV/cell

(7)
## ScHgBiCl2 (PBE-GGA)

Data for ScHgBiCl2 after structural relaxation.

a b c (Å): 4.8437 4.8437 6.2850
angles (deg): 90.00 90.00 90.00
Closest atoms and distances in Å follow each position.
Space group P4/mmm (No. 123)
Symmetry-distinct sites (fractional):
Sc (0.0000, 0.0000, 0.0000) x1  4 Cl 2.42
Hg (0.5000, 0.5000, 0.5000) x1  4 Bi 3.43
Bi (0.0000, 0.0000, 0.5000) x1  2 Sc 3.14, 4 Hg 3.43
Cl (0.0000, 0.5000, 0.0000) x2  2 Sc 2.42

Results
Formation energy (no corrections) = -4.90 eV/f.u.
N(E_F) = 1.925 states/eV/cell

(8)
## SnHgBiCl (PBE-GGA)

Data for SnHgBiCl after structural relaxation.

a b c (Å): 7.5565 7.5565 7.5565
angles (deg): 90.00 90.00 90.00
Closest atoms and distances in Å follow each position.
Space group F-43m (No. 216)
Symmetry-distinct sites (fractional):
Sn (0.0000, 0.0000, 0.0000) x4  4 Bi 3.27, 4 Cl 3.27
Hg (0.0000, 0.0000, 0.5000) x4  4 Cl 3.27, 4 Bi 3.27
Bi (0.2500, 0.2500, 0.7500) x4  4 Hg 3.27, 4 Sn 3.27
Cl (0.2500, 0.2500, 0.2500) x4  4 Sn 3.27, 4 Hg 3.27

Results
Formation energy (no corrections) = -0.62 eV/f.u.
N(E_F) = 3.376 states/eV/cell

(9)
## TaHgBiCl2 (PBE-GGA)

Data for TaHgBiCl2 after structural relaxation.

a b c (Å): 4.7009 4.7009 5.9894
angles (deg): 90.00 90.00 90.00
Closest atoms and distances in Å follow each position.
Space group P4/mmm (No. 123)
Symmetry-distinct sites (fractional):
Ta (0.0000, 0.0000, 0.0000) x1  4 Cl 2.35
Hg (0.0000, 0.0000, 0.5000) x1  2 Ta 2.99, 4 Bi 3.32
Bi (0.5000, 0.5000, 0.5000) x1  4 Hg 3.32
Cl (0.0000, 0.5000, 0.0000) x2  2 Ta 2.35

Results
Formation energy (no corrections) = 0.28 eV/f.u.
N(E_F) = 3.626 states/eV/cell

(10)
## Tl2HgBiCl6 (PBE-GGA)

Data for Tl2HgBiCl6 after structural relaxation.

a b c (Å): 7.7301 7.7301 19.6526
angles (deg): 90.00 90.00 120.00
Closest atoms and distances in Å follow each position.
Space group R3 (No. 146, hexagonal axes)
Symmetry-distinct sites (fractional):
Tl (0.0000, 0.0000, 0.0000) x3  6 Cl 3.30-3.33
Tl (0.0000, 0.0000, 0.4960) x3  6 Cl 3.30-3.31
Hg (0.0000, 0.0000, 0.2830) x3  6 Cl 2.92-3.01
Bi (0.0000, 0.0000, 0.7869) x3  6 Cl 2.73-2.75
Cl (0.0263, 0.6015, 0.5397) x9  1 Bi 2.75, 1 Hg 2.92
Cl (0.0847, 0.3385, 0.3781) x9  1 Bi 2.73, 1 Hg 3.01

Results
Formation energy (no corrections) = -8.52 eV/f.u.
N(E_F) = 11.441 states/eV/cell

(11)
## TlHg2BiCl8 (PBE-GGA)

Data for TlHg2BiCl8 after structural relaxation.

a b c (Å): 6.8016 6.8212 9.0510
angles (deg): 81.81 73.93 87.50
Closest atoms and distances in Å follow each position.
Space group P-1 (No. 2)
Symmetry-distinct sites (fractional):
Tl (0.0000, 0.0000, 0.0000) x1  6 Cl 3.18-3.31
Hg (0.4670, 0.4781, 0.2325) x2  2 Cl 2.39-2.40
Bi (0.0000, 0.0000, 0.5000) x1  6 Cl 2.69-2.84
Cl (0.2119, 0.8155, 0.6910) x2  1 Bi 2.69
Cl (0.2373, 0.3421, 0.4753) x2  1 Hg 2.40
Cl (0.2651, 0.8649, 0.2500) x2  1 Bi 2.72, 1 Hg 2.93
Cl (0.2664, 0.3980, 0.9907) x2  1 Hg 2.39

Results
Formation energy (no corrections) = -9.25 eV/f.u.
N(E_F) = 0.000 states/eV/cell

(12)
## HoBiCl6 (PBE-GGA)

Data for HoBiCl6 after structural relaxation.

a b c (Å): 6.7510 6.7510 18.4187
angles (deg): 90.00 90.00 120.00
Closest atoms and distances in Å follow each position.
Space group R-3 (No. 148, hexagonal axes)
Symmetry-distinct sites (fractional):
Ho (0.0000, 0.0000, 0.0000) x3  6 Cl 2.65
Bi (0.0000, 0.0000, 0.5000) x3  6 Cl 2.74
Cl (0.0071, 0.3257, 0.0819) x18  1 Ho 2.65, 1 Bi 2.74

Results
Excess energy over the best structure of this formula in the dataset = 0.5 kJ per mole of atoms
Formation energy (no corrections) = -12.80 eV/f.u.
N(E_F) = 0.000 states/eV/cell

(13)
## HoBiCl6 (PBE-GGA)

Data for HoBiCl6 after structural relaxation.

a b c (Å): 6.6883 12.8075 6.6901
angles (deg): 90.00 106.30 90.00
Closest atoms and distances in Å follow each position.
Space group C2/m (No. 12)
Symmetry-distinct sites (fractional):
Ho (0.0000, 0.0000, 0.0000) x2  6 Cl 2.63-2.65
Bi (0.0000, 0.5000, 0.5000) x2  6 Cl 2.72-2.74
Cl (0.2427, 0.1407, 0.2431) x8  1 Ho 2.65, 1 Bi 2.74
Cl (0.2460, 0.0000, 0.7548) x4  1 Ho 2.63, 1 Bi 2.72

Results
Excess energy over the best structure of this formula in the dataset = 0.0 kJ per mole of atoms
Formation energy (no corrections) = -12.84 eV/f.u.
N(E_F) = 0.000 states/eV/cell

(14)
## HoBi2ClO4 (PBE-GGA)

Data for HoBi2ClO4 after structural relaxation.

a b c (Å): 3.8880 3.8880 9.0597
angles (deg): 90.00 90.00 90.00
Closest atoms and distances in Å follow each position.
Space group P4/mmm (No. 123)
Symmetry-distinct sites (fractional):
Ho (0.0000, 0.0000, 0.0000) x1  8 O 2.38
Bi (0.5000, 0.5000, 0.2769) x2  4 O 2.25
Cl (0.0000, 0.0000, 0.5000) x1  8 Bi 3.41, 8 O 3.70
O (0.0000, 0.5000, 0.1519) x4  2 Bi 2.25, 2 Ho 2.38

Results
Formation energy (no corrections) = -16.38 eV/f.u.
N(E_F) = 0.000 states/eV/cell

(15)
## BiICl4 (PBE-GGA)

Data for BiICl4 after structural relaxation.

a b c (Å): 8.0429 19.1399 7.0526
angles (deg): 90.00 94.55 90.00
Closest atoms and distances in Å follow each position.
Space group C2/c (No. 15)
Symmetry-distinct sites (fractional):
Bi (0.0000, 0.0547, 0.2500) x4  6 Cl 2.74-2.76
I (0.0000, 0.3446, 0.7500) x4  2 Cl 2.58
Cl (0.1916, 0.0452, 0.5883) x8  2 Bi 2.74-2.76
Cl (0.1930, 0.1601, 0.1145) x8  1 I 2.58, 1 Bi 2.76

Results
Formation energy (no corrections) = -4.12 eV/f.u.
N(E_F) = 0.000 states/eV/cell

(16)
## BiICl3 (PBE-GGA)

Data for BiICl3 after structural relaxation.

a b c (Å): 6.0317 7.8601 7.9229
angles (deg): 89.97 83.54 89.53
Closest atoms and distances in Å follow each position.
Space group P1 (No. 1)
Symmetry-distinct sites (fractional):
Bi (0.0000, 0.0000, 0.0000) x1  3 Cl 2.50-2.75
Bi (0.4997, 0.0162, 0.4999) x1  3 Cl 2.50-2.75
I (0.4577, 0.7151, 0.7709) x1  2 Cl 3.01-3.03, 1 Bi 3.19
I (0.9508, 0.3008, 0.2713) x1  2 Cl 3.01-3.03, 1 Bi 3.19
Cl (0.1866, 0.8712, 0.3790) x1  1 Bi 2.50
Cl (0.2144, 0.1893, 0.7083) x1  2 Bi 2.62-2.93
Cl (0.4468, 0.2887, 0.2900) x1  1 Bi 2.75, 2 I 3.01-3.03
Cl (0.6840, 0.1450, 0.8788) x1  1 Bi 2.50
Cl (0.7178, 0.8270, 0.2079) x1  2 Bi 2.62-2.93
Cl (0.9535, 0.7273, 0.7899) x1  1 Bi 2.75, 2 I 3.01-3.03

Results
Excess energy over the best structure of this formula in the dataset = 0.0 kJ per mole of atoms
Formation energy (no corrections) = -3.12 eV/f.u.
N(E_F) = 2.717 states/eV/cell

(17)
## BiICl2 (PBE-GGA)

Data for BiICl2 after structural relaxation.

a b c (Å): 8.2681 12.0522 7.4000
angles (deg): 90.00 118.97 90.00
Closest atoms and distances in Å follow each position.
Space group Cc (No. 9)
Symmetry-distinct sites (fractional):
Bi (0.0000, 0.0924, 0.0000) x4  4 Cl 2.71-2.82
I (0.2626, 0.4044, 0.7144) x4  2 Bi 3.06-3.07
Cl (0.2041, 0.0599, 0.7902) x4  2 Bi 2.71-2.82
Cl (0.2679, 0.2495, 0.2283) x4  2 Bi 2.76-2.78

Results
Excess energy over the best structure of this formula in the dataset = 0.0 kJ per mole of atoms
Formation energy (no corrections) = -3.14 eV/f.u.
N(E_F) = 0.000 states/eV/cell

(18)
## Bi3ICl (PBE-GGA)

Data for Bi3ICl after structural relaxation.

a b c (Å): 5.6341 5.6341 5.6341
angles (deg): 90.00 90.00 90.00
Closest atoms and distances in Å follow each position.
Space group Pm-3m (No. 221)
Symmetry-distinct sites (fractional):
Bi (0.0000, 0.0000, 0.5000) x3  2 Cl 2.82
I (0.5000, 0.5000, 0.5000) x1  12 Bi 3.98
Cl (0.0000, 0.0000, 0.0000) x1  6 Bi 2.82

Results
Formation energy (no corrections) = 2.94 eV/f.u.
N(E_F) = 5.104 states/eV/cell

(19)
## Bi2ICl (PBE-GGA)

Data for Bi2ICl after structural relaxation.

a b c (Å): 7.8100 7.8100 7.8100
angles (deg): 90.00 90.00 90.00
Closest atoms and distances in Å follow each position.
Space group Fm-3m (No. 225)
Symmetry-distinct sites (fractional):
Bi (0.2500, 0.2500, 0.2500) x8  4 Cl 3.38, 4 I 3.38
I (0.0000, 0.0000, 0.0000) x4  8 Bi 3.38
Cl (0.0000, 0.0000, 0.5000) x4  8 Bi 3.38

Results
Excess energy over the best structure of this formula in the dataset = 10.2 kJ per mole of atoms
Formation energy (no corrections) = 0.54 eV/f.u.
N(E_F) = 13.564 states/eV/cell

(20)
## BiICl2 (PBE-GGA)

Data for BiICl2 after structural relaxation.

a b c (Å): 5.2579 5.2579 18.9037
angles (deg): 90.00 90.00 90.00
Closest atoms and distances in Å follow each position.
Space group I-42d (No. 122)
Symmetry-distinct sites (fractional):
Bi (0.0000, 0.0000, 0.0000) x4  4 Cl 2.82
I (0.0000, 0.0000, 0.5000) x4  4 Cl 3.26
Cl (0.1541, 0.2500, 0.1250) x8  2 Bi 2.82, 2 Cl 3.09

Results
Excess energy over the best structure of this formula in the dataset = 53.3 kJ per mole of atoms
Formation energy (no corrections) = -0.93 eV/f.u.
N(E_F) = 5.232 states/eV/cell

Number 1: raw total energy -13.2 eV/cell, V 171 Å³/cell. Number 2: raw total energy -13.3 eV/cell, V 165 Å³/cell. Number 3: raw total energy -11.5 eV/cell, V 136 Å³/cell. Number 4: raw total energy -41.2 eV/cell, V 435 Å³/cell. Number 5: raw total energy -31.5 eV/cell, V 409 Å³/cell. Number 6: raw total energy -59.2 eV/cell, V 741 Å³/cell. Number 7: raw total energy -19.1 eV/cell, V 147 Å³/cell. Number 8: raw total energy -42.6 eV/cell, V 431 Å³/cell. Number 9: raw total energy -19.4 eV/cell, V 132 Å³/cell. Number 10: raw total energy -85.5 eV/cell, V 1017 Å³/cell. Number 11: raw total energy -30.9 eV/cell, V 399 Å³/cell. Number 12: raw total energy -97.0 eV/cell, V 727 Å³/cell. Number 13: raw total energy -64.8 eV/cell, V 550 Å³/cell. Number 14: raw total energy -50.4 eV/cell, V 137 Å³/cell. Number 15: raw total energy -67.7 eV/cell, V 1082 Å³/cell. Number 16: raw total energy -28.2 eV/cell, V 373 Å³/cell. Number 17: raw total energy -49.0 eV/cell, V 645 Å³/cell. Number 18: raw total energy -12.1 eV/cell, V 179 Å³/cell. Number 19: raw total energy -42.5 eV/cell, V 476 Å³/cell. Number 20: raw total energy -40.2 eV/cell, V 523 Å³/cell.